# CdMo2F8

Crystalline CdMo2F8 at its relaxed geometry (PBE with a Hubbard U, Alexandria via LeMat-Bulk).

## Properties
crystal system	monoclinic
uncorrected energy	-4.9724	eV/atom

Cell lengths 6.4827, 9.6913, 4.8977 Å; angles 90.00, 101.82, 90.00 degrees
With the nearest neighbours (Å) after each atom.
Space group C2/m (No. 12)
Symmetry-distinct sites (fractional):
Cd 0.0000 0.0000 0.0000 [2 per cell]  2 F 2.08
Mo 0.0000 0.3216 0.5000 [4 per cell]  6 F 2.15-2.17
F 0.0000 0.2150 0.0000 [4 per cell]  1 Cd 2.08
F 0.1340 0.5000 0.7388 [4 per cell]  2 Mo 2.17
F 0.2070 0.1473 0.6306 [8 per cell]  2 Mo 2.15-2.17